Here is a geometry-optimized TiNbPd structure from Alexandria via LeMat-Bulk. Energies are from GGA-PBE.

Computed properties:
electronic total energy	-48.5	eV for the cell shown
V	100	Å³/cell
excess energy over the best structure of this formula in the dataset	0.000	eV/atom
calculated formation energy	-360	meV/atom

CIF file:
```
data_TiNbPd
_chemical_formula_sum 'Ti2 Nb2 Pd2'
_space_group_name_H-M_alt 'P 4/n m m'
_space_group_IT_number 129
_cell_length_a 3.3148
_cell_length_b 3.3148
_cell_length_c 9.1139
_cell_angle_alpha 90.00
_cell_angle_beta 90.00
_cell_angle_gamma 90.00
loop_
_space_group_symop_operation_xyz
'x,y,z'
'-x,-y,-z'
'-y+1/2,x,z'
'y+1/2,-x,-z'
'-x+1/2,-y+1/2,z'
'x+1/2,y+1/2,-z'
'y,-x+1/2,z'
'-y,x+1/2,-z'
'x+1/2,-y,-z'
'-x+1/2,y,z'
'-y,-x,-z'
'y,x,z'
'-x,y+1/2,-z'
'x,-y+1/2,z'
'y+1/2,x+1/2,-z'
'-y+1/2,-x+1/2,z'
loop_
_atom_site_label
_atom_site_fract_x
_atom_site_fract_y
_atom_site_fract_z
_atom_site_occupancy
Ti1 0.2500 0.2500 0.2323 1
Nb1 0.2500 0.2500 0.5804 1
Pd1 0.2500 0.2500 0.9096 1
```